A plane-wave DFT calculation with GGA-PBE was carried out for an optimized crystal structure of CuTcS2Cl.

Cell and atoms, written as CIF:
```
data_CuTcS2Cl
_chemical_formula_sum 'Cu1 Tc1 S2 Cl1'
_space_group_name_H-M_alt 'P 4/m m m'
_space_group_IT_number 123
_space_group_name_Hall '-P 4 2'
_cell_length_a 4.6318
_cell_length_b 4.6318
_cell_length_c 4.5162
_cell_angle_alpha 90.00
_cell_angle_beta 90.00
_cell_angle_gamma 90.00
loop_
_atom_site_label
_atom_site_type_symbol
_atom_site_fract_x
_atom_site_fract_y
_atom_site_fract_z
Cu1 Cu 0.0000 0.0000 0.0000
Tc1 Tc 0.5000 0.5000 0.5000
S1 S 0.0000 0.5000 0.0000
Cl1 Cl 0.0000 0.0000 0.5000
```

- density (g cm⁻³) = 4.475
- relative energy among the computed polymorphs (meV per atom) = 394
- V (Å³/atom) = 19.38
- uncorrected formation energy (eV/atom) = 0.75

A plane-wave DFT calculation with GGA-PBE was carried out for an optimized crystal structure of NaMgGeSe3.

Cell and atoms, written as CIF:
```
data_NaMgGeSe3
_chemical_formula_sum 'Na2 Mg2 Ge2 Se6'
_space_group_name_H-M_alt 'P 1 21/m 1'
_space_group_IT_number 11
_cell_length_a 7.8945
_cell_length_b 4.4400
_cell_length_c 10.0486
_cell_angle_alpha 90.00
_cell_angle_beta 110.56
_cell_angle_gamma 90.00
loop_
_space_group_symop_operation_xyz
'x,y,z'
'-x,-y,-z'
'-x,y+1/2,-z'
'x,-y+1/2,z'
loop_
_atom_site_label
_atom_site_type_symbol
_atom_site_fract_x
_atom_site_fract_y
_atom_site_fract_z
Na1 Na 0.2240 0.2500 0.1826
Mg1 Mg 0.3463 0.7500 0.8864
Ge1 Ge 0.1167 0.2500 0.6256
Se1 Se 0.0628 0.2500 0.8455
Se2 Se 0.2149 0.7500 0.5627
Se3 Se 0.4723 0.7500 0.1630
```

- density (g cm⁻³) = 3.593
- V (Å³/atom) = 27.48
- uncorrected formation energy (eV/atom) = -0.71

A plane-wave DFT calculation with GGA-PBE was carried out for an optimized crystal structure of BaTbCu10.

Cell and atoms, written as CIF:
```
data_BaTbCu10
_chemical_formula_sum 'Ba1 Tb1 Cu10'
_space_group_name_H-M_alt 'P m m m'
_space_group_IT_number 47
_cell_length_a 4.0327
_cell_length_b 5.2743
_cell_length_c 9.1135
_cell_angle_alpha 90.00
_cell_angle_beta 90.00
_cell_angle_gamma 90.00
loop_
_space_group_symop_operation_xyz
'x,y,z'
'-x,-y,-z'
'-x,-y,z'
'x,y,-z'
'x,-y,-z'
'-x,y,z'
'-x,y,-z'
'x,-y,z'
loop_
_atom_site_label
_atom_site_type_symbol
_atom_site_fract_x
_atom_site_fract_y
_atom_site_fract_z
Ba1 Ba 0.0000 0.0000 0.0000
Tb1 Tb 0.0000 0.5000 0.5000
Cu1 Cu 0.0000 0.0000 0.3443
Cu2 Cu 0.0000 0.5000 0.1813
Cu3 Cu 0.5000 0.0000 0.5000
Cu4 Cu 0.5000 0.2608 0.2677
Cu5 Cu 0.5000 0.5000 0.0000
```

- density (g cm⁻³) = 7.982
- V (Å³/atom) = 16.15
- formation energy from the elements (eV per atom) = -0.08

A plane-wave DFT calculation with GGA-PBE was carried out for an optimized crystal structure of Ta7Os6.

Cell and atoms, written as CIF:
```
data_Ta7Os6
_chemical_formula_sum 'Ta21 Os18'
_space_group_name_H-M_alt 'R -3 m'
_space_group_IT_number 166
_space_group_name_Hall '-R 3 2"'
_cell_length_a 5.2845
_cell_length_b 5.2845
_cell_length_c 27.2630
_cell_angle_alpha 90.00
_cell_angle_beta 90.00
_cell_angle_gamma 120.00
loop_
_atom_site_label
_atom_site_type_symbol
_atom_site_fract_x
_atom_site_fract_y
_atom_site_fract_z
Ta1 Ta 0.0000 0.0000 0.0000
Ta2 Ta 0.0030 0.5015 0.4145
Os1 Os 0.0000 0.0000 0.1686
Os2 Os 0.0000 0.0000 0.3445
Os3 Os 0.0000 0.0000 0.4539
```

- density (g cm⁻³) = 18.193
- V (Å³/atom) = 16.91
- formation energy from the elements (eV per atom) = 0.41

A plane-wave DFT calculation with GGA-PBE was carried out for an optimized crystal structure of Nd2Al5IrRh2.

Cell and atoms, written as CIF:
```
data_Nd2Al5IrRh2
_chemical_formula_sum 'Nd4 Al10 Ir2 Rh4'
_space_group_name_H-M_alt 'P 4/m b m'
_space_group_IT_number 127
_space_group_name_Hall '-P 4 2ab'
_cell_length_a 10.9449
_cell_length_b 10.9449
_cell_length_c 3.0147
_cell_angle_alpha 90.00
_cell_angle_beta 90.00
_cell_angle_gamma 90.00
loop_
_atom_site_label
_atom_site_type_symbol
_atom_site_fract_x
_atom_site_fract_y
_atom_site_fract_z
Nd1 Nd 0.1823 0.3177 0.0000
Al1 Al 0.0000 0.5000 0.5000
Al2 Al 0.0523 0.8098 0.5000
Ir1 Ir 0.0000 0.0000 0.0000
Rh1 Rh 0.1288 0.6288 0.0000
```

- density (g cm⁻³) = 7.554
- V (Å³/atom) = 18.06
- formation energy from the elements (eV per atom) = -0.65

A plane-wave DFT calculation with GGA-PBE was carried out for an optimized crystal structure of YNbMo2C.

Cell and atoms, written as CIF:
```
data_YNbMo2C
_chemical_formula_sum 'Y1 Nb1 Mo2 C1'
_space_group_name_H-M_alt 'P 4/m m m'
_space_group_IT_number 123
_space_group_name_Hall '-P 4 2'
_cell_length_a 4.9182
_cell_length_b 4.9182
_cell_length_c 4.2192
_cell_angle_alpha 90.00
_cell_angle_beta 90.00
_cell_angle_gamma 90.00
loop_
_atom_site_label
_atom_site_type_symbol
_atom_site_fract_x
_atom_site_fract_y
_atom_site_fract_z
Y1 Y 0.0000 0.0000 0.0000
Nb1 Nb 0.5000 0.5000 0.5000
Mo1 Mo 0.0000 0.5000 0.5000
C1 C 0.5000 0.5000 0.0000
```

- density (g cm⁻³) = 6.276
- V (Å³/atom) = 20.41
- formation energy from the elements (eV per atom) = 1.50

A plane-wave DFT calculation with GGA-PBE was carried out for an optimized crystal structure of La2PrSm6Ho3.

Cell and atoms, written as CIF:
```
data_La2PrSm6Ho3
_chemical_formula_sum 'La4 Pr2 Sm12 Ho6'
_space_group_name_H-M_alt 'C 1 2/m 1'
_space_group_IT_number 12
_cell_length_a 6.2923
_cell_length_b 10.9050
_cell_length_c 12.0415
_cell_angle_alpha 90.00
_cell_angle_beta 100.06
_cell_angle_gamma 90.00
loop_
_space_group_symop_operation_xyz
'x,y,z'
'-x,-y,-z'
'-x,y,-z'
'x,-y,z'
'x+1/2,y+1/2,z'
'-x+1/2,-y+1/2,-z'
'-x+1/2,y+1/2,-z'
'x+1/2,-y+1/2,z'
loop_
_atom_site_label
_atom_site_type_symbol
_atom_site_fract_x
_atom_site_fract_y
_atom_site_fract_z
La1 La 0.0000 0.1665 0.0000
Pr1 Pr 0.0000 0.5000 0.0000
Sm1 Sm 0.2473 0.1666 0.7437
Sm2 Sm 0.2470 0.5000 0.7437
Ho1 Ho 0.0000 0.0000 0.5000
Ho2 Ho 0.0000 0.3335 0.5000
```

- density (g cm⁻³) = 7.412
- V (Å³/atom) = 33.90
- formation energy from the elements (eV per atom) = 0.02

A plane-wave DFT calculation with GGA-PBE was carried out for an optimized crystal structure of Tl3TeO7.

Cell and atoms, written as CIF:
```
data_Tl3TeO7
_chemical_formula_sum 'Tl12 Te4 O28'
_space_group_name_H-M_alt 'C m c m'
_space_group_IT_number 63
_space_group_name_Hall '-C 2c 2'
_cell_length_a 7.5918
_cell_length_b 10.7918
_cell_length_c 7.7219
_cell_angle_alpha 90.00
_cell_angle_beta 90.00
_cell_angle_gamma 90.00
loop_
_atom_site_label
_atom_site_type_symbol
_atom_site_fract_x
_atom_site_fract_y
_atom_site_fract_z
Tl1 Tl 0.0000 0.0000 0.0000
Tl2 Tl 0.2448 0.2599 0.2500
Te1 Te 0.0000 0.5000 0.0000
O1 O 0.0000 0.1324 0.7500
O2 O 0.0000 0.1487 0.2500
O3 O 0.0000 0.4614 0.2500
O4 O 0.1855 0.3755 0.5177
```

- density (g cm⁻³) = 8.953
- V (Å³/atom) = 14.38
- uncorrected formation energy (eV/atom) = -0.80

A plane-wave DFT calculation with GGA-PBE was carried out for an optimized crystal structure of MnNi8H4.

Cell and atoms, written as CIF:
```
data_MnNi8H4
_chemical_formula_sum 'Mn2 Ni16 H8'
_space_group_name_H-M_alt 'C 1 2/m 1'
_space_group_IT_number 12
_cell_length_a 12.6490
_cell_length_b 2.5997
_cell_length_c 8.6291
_cell_angle_alpha 90.00
_cell_angle_beta 130.24
_cell_angle_gamma 90.00
loop_
_space_group_symop_operation_xyz
'x,y,z'
'-x,-y,-z'
'-x,y,-z'
'x,-y,z'
'x+1/2,y+1/2,z'
'-x+1/2,-y+1/2,-z'
'-x+1/2,y+1/2,-z'
'x+1/2,-y+1/2,z'
loop_
_atom_site_label
_atom_site_type_symbol
_atom_site_fract_x
_atom_site_fract_y
_atom_site_fract_z
Mn1 Mn 0.0000 0.0000 0.0000
Ni1 Ni 0.0361 0.0000 0.7387
Ni2 Ni 0.1321 0.5000 0.5949
Ni3 Ni 0.1618 0.5000 0.3268
Ni4 Ni 0.1998 0.5000 0.0739
H1 H 0.1462 0.0000 0.4662
H2 H 0.1623 0.5000 0.8291
```

- density (g cm⁻³) = 8.103
- V (Å³/atom) = 8.33
- energy (eV/atom) = -5.329

A plane-wave DFT calculation with GGA-PBE was carried out for an optimized crystal structure of HoMg4Sc5.

Cell and atoms, written as CIF:
```
data_HoMg4Sc5
_chemical_formula_sum 'Ho1 Mg4 Sc5'
_space_group_name_H-M_alt 'P 4/m m m'
_space_group_IT_number 123
_space_group_name_Hall '-P 4 2'
_cell_length_a 3.5364
_cell_length_b 3.5364
_cell_length_c 19.3442
_cell_angle_alpha 90.00
_cell_angle_beta 90.00
_cell_angle_gamma 90.00
loop_
_atom_site_label
_atom_site_type_symbol
_atom_site_fract_x
_atom_site_fract_y
_atom_site_fract_z
Ho1 Ho 0.0000 0.0000 0.0000
Mg1 Mg 0.0000 0.0000 0.2140
Mg2 Mg 0.0000 0.0000 0.4041
Sc1 Sc 0.5000 0.5000 0.1175
Sc2 Sc 0.5000 0.5000 0.3092
Sc3 Sc 0.5000 0.5000 0.5000
```

- density (g cm⁻³) = 3.342
- V (Å³/atom) = 24.19
- formation energy from the elements (eV per atom) = -0.02

A plane-wave DFT calculation with GGA-PBE was carried out for an optimized crystal structure of Al5Bi3S12.

Cell and atoms, written as CIF:
```
data_Al5Bi3S12
_chemical_formula_sum 'Al40 Bi24 S96'
_space_group_name_H-M_alt 'C c c 2'
_space_group_IT_number 37
_cell_length_a 10.2309
_cell_length_b 10.3156
_cell_length_c 36.0733
_cell_angle_alpha 90.00
_cell_angle_beta 90.00
_cell_angle_gamma 90.00
loop_
_space_group_symop_operation_xyz
'x,y,z'
'-x,-y,z'
'-x,y,z+1/2'
'x,-y,z+1/2'
'x+1/2,y+1/2,z'
'-x+1/2,-y+1/2,z'
'-x+1/2,y+1/2,z+1/2'
'x+1/2,-y+1/2,z+1/2'
loop_
_atom_site_label
_atom_site_type_symbol
_atom_site_fract_x
_atom_site_fract_y
_atom_site_fract_z
Al1 Al 0.0000 0.0000 0.0000
Al2 Al 0.0000 0.0000 0.0841
Al3 Al 0.0000 0.0000 0.1694
Al4 Al 0.0000 0.0000 0.2597
Al5 Al 0.0000 0.0000 0.4118
Al6 Al 0.0000 0.5000 0.0117
Al7 Al 0.0000 0.5000 0.1635
Al8 Al 0.0000 0.5000 0.2504
Al9 Al 0.0000 0.5000 0.3371
Al10 Al 0.0000 0.5000 0.4213
Bi1 Bi 0.2500 0.2500 0.0085
Bi2 Bi 0.2500 0.2500 0.1095
Bi3 Bi 0.2500 0.2500 0.3318
Bi4 Bi 0.2500 0.2500 0.4364
Bi5 Bi 0.2500 0.2500 0.7342
Bi6 Bi 0.2500 0.2500 0.8330
S1 S 0.0075 0.1621 0.9554
S2 S 0.0074 0.1646 0.6268
S3 S 0.0096 0.3337 0.8776
S4 S 0.0113 0.3353 0.7094
S5 S 0.0162 0.1829 0.7957
S6 S 0.0335 0.3183 0.0432
S7 S 0.1605 0.4854 0.4643
S8 S 0.1616 0.0015 0.7160
S9 S 0.1673 0.4986 0.2956
S10 S 0.1676 0.0023 0.0405
S11 S 0.1884 0.0409 0.3798
S12 S 0.1918 0.4804 0.1367
```

- density (g cm⁻³) = 4.001
- relative energy among the computed polymorphs (meV per atom) = 98
- V (Å³/atom) = 23.79
- uncorrected formation energy (eV/atom) = -0.67

A plane-wave DFT calculation with GGA-PBE was carried out for an optimized crystal structure of Mg2IrCl.

Cell and atoms, written as CIF:
```
data_Mg2IrCl
_chemical_formula_sum 'Mg4 Ir2 Cl2'
_space_group_name_H-M_alt 'C m m 2'
_space_group_IT_number 35
_cell_length_a 3.3182
_cell_length_b 4.9849
_cell_length_c 9.9346
_cell_angle_alpha 90.00
_cell_angle_beta 90.00
_cell_angle_gamma 90.00
loop_
_space_group_symop_operation_xyz
'x,y,z'
'-x,-y,z'
'-x,y,z'
'x,-y,z'
'x+1/2,y+1/2,z'
'-x+1/2,-y+1/2,z'
'-x+1/2,y+1/2,z'
'x+1/2,-y+1/2,z'
loop_
_atom_site_label
_atom_site_type_symbol
_atom_site_fract_x
_atom_site_fract_y
_atom_site_fract_z
Mg1 Mg 0.0000 0.0000 0.0000
Mg2 Mg 0.0000 0.5000 0.2691
Ir1 Ir 0.0000 0.5000 0.8037
Cl1 Cl 0.0000 0.0000 0.4350
```

- density (g cm⁻³) = 5.584
- relative energy among the computed polymorphs (meV per atom) = 689
- V (Å³/atom) = 20.54
- uncorrected formation energy (eV/atom) = -0.05